The following is a DFT calculation (PBE) of LiTe2Br after structural relaxation.

* DOS at the Fermi energy: 1.2 states/eV per cell
* E: -2.9727 eV per atom
* energy relative to the elements, uncorrected: -505 meV per atom
* energy above the lowest structure with this stoichiometry: 0.46 eV/f.u.

abc: 4.0925 8.8492 4.5282
angles: 90.00 90.14 90.00
With the nearest neighbours (Å) after each atom.
Space group P2/m (No. 10)
Unique sites:
Li (0.0000, 0.0000, 0.0000) [1 per cell]  2 Br 2.26
Te (0.2503, 0.5000, 0.2502) [2 per cell]  4 Te 3.05-3.06
Br (0.0000, 0.0000, 0.5000) [1 per cell]  2 Li 2.26